DFT (PBE) results for YW2Se after structural relaxation.

a b c (Å): 3.2523 7.4754 7.4754
angles (deg): 26.72 90.00 90.00
Fractional positions:
Y 0.0000 0.0000 0.0000
W 0.0000 0.2334 0.2334
W 0.5000 0.6494 0.6494
Se 0.5000 0.3771 0.3771

The total energy comes out at -36.10 eV/cell. The volume is 81.7 Å³/f.u. As for the symmetry: Amm2, No. 38. The value obtained for the uncorrected formation energy is -0.061 eV per atom.